TiMoRu2 | Alexandria via LeMat-Bulk | PBE | relaxed; N(E_F) = 1.4284 states/eV per atom; energy relative to the elements = 375 meV per atom; SG = I-42d; volume = 16.16 Å³/atom
1.0
-3.460 3.460 2.699
3.460 -3.460 2.699
3.460 3.460 -2.699
Ti Mo Ru
2 2 4
direct
0.000 0.000 0.000 Ti
0.750 0.250 0.500 Ti
0.250 0.750 0.500 Mo
0.500 0.500 0.000 Mo
0.137 0.625 0.012 Ru
0.375 0.387 0.512 Ru
0.613 0.125 0.988 Ru
0.875 0.863 0.488 Ru

TiV2Mo2Ru5 | Alexandria via LeMat-Bulk | PBE | relaxed; N(E_F) = 0.9603 states/eV per atom; energy relative to the elements = -4 meV per atom; SG = P4/mbm; volume = 14.84 Å³/atom
1.0
8.830 0.000 0.000
0.000 8.830 0.000
0.000 0.000 3.807
Ti V Mo Ru
2 4 4 10
direct
0.000 0.000 0.000 Ti
0.500 0.500 0.000 Ti
0.128 0.372 0.000 V
0.372 0.872 0.000 V
0.628 0.128 0.000 V
0.872 0.628 0.000 V
0.175 0.675 0.000 Mo
0.325 0.175 0.000 Mo
0.675 0.825 0.000 Mo
0.825 0.325 0.000 Mo
0.000 0.500 0.500 Ru
0.067 0.201 0.500 Ru
0.201 0.933 0.500 Ru
0.299 0.433 0.500 Ru
0.433 0.701 0.500 Ru
0.500 0.000 0.500 Ru
0.567 0.299 0.500 Ru
0.701 0.567 0.500 Ru
0.799 0.067 0.500 Ru
0.933 0.799 0.500 Ru

YTiMoRu2 | Alexandria via LeMat-Bulk | PBE | relaxed; N(E_F) = 1.6358 states/eV per atom; energy relative to the elements = 2081 meV per atom; SG = P4/mmm; volume = 20.52 Å³/atom
1.0
4.672 0.000 0.000
0.000 4.672 0.000
0.000 0.000 4.699
Y Ti Mo Ru
1 1 1 2
direct
0.000 0.000 0.000 Y
0.000 0.000 0.500 Ti
0.500 0.500 0.500 Mo
0.000 0.500 0.000 Ru
0.500 0.000 0.000 Ru

Zr2TiMoRu | Alexandria via LeMat-Bulk | PBE | relaxed; N(E_F) = 2.0503 states/eV per atom; energy relative to the elements = 798 meV per atom; SG = P4/mmm; volume = 23.10 Å³/atom
1.0
4.955 0.000 0.000
0.000 4.955 0.000
0.000 0.000 4.704
Zr Ti Mo Ru
2 1 1 1
direct
0.000 0.500 0.000 Zr
0.500 0.000 0.000 Zr
0.000 0.000 0.500 Ti
0.500 0.500 0.500 Mo
0.500 0.500 0.000 Ru

Number 1: magnetic moment 0.00 μB/cell. Number 2: magnetic moment 0.00 μB/cell. Number 3: magnetic moment 0.00 μB/cell. Number 4: magnetic moment 0.00 μB/cell.